Record 1
Sm8HoSc6 PBE optimized geometry; volume = 451.1 Å³/cell; energy = -5.170 eV per atom
1.0
-6.704 -6.461 1.983
-1.613 -2.569 9.023
-6.669 1.187 4.167
Sm Sc Ho
8 6 1
Direct
0.406 0.406 0.781
0.773 0.062 0.526
0.227 0.938 0.474
0.594 0.594 0.219
0.639 0.773 0.526
0.062 0.639 0.526
0.361 0.227 0.474
0.938 0.361 0.474
0.710 0.381 0.965
0.381 0.944 0.965
0.290 0.619 0.035
0.619 0.056 0.035
0.944 0.710 0.965
0.056 0.290 0.035
0.000 0.000 0.000



Record 2
Sc5Hg4Pb PBE optimized geometry; volume = 224.0 Å³/cell; energy = -4.058 eV per atom
1.0
-0.450 0.969 3.366
1.087 -3.187 1.063
16.935 5.958 0.550
Hg Pb Sc
4 1 5
Direct
0.000 0.000 0.210
0.000 0.000 0.401
0.000 0.000 0.599
0.000 0.000 0.790
0.000 0.000 0.000
0.500 0.500 0.110
0.500 0.500 0.890
0.500 0.500 0.305
0.500 0.500 0.695
0.500 0.500 0.500



Record 3
InP3Ir PBE optimized geometry; volume = 104.3 Å³/cell; energy = -4.954 eV per atom; distance to the lowest polymorph of the same formula = 0 meV per atom
1.0
4.708 0.000 0.000
0.000 4.708 0.000
0.000 0.000 4.708
P In Ir
3 1 1
Direct
0.500 0.000 0.000
0.000 0.500 0.000
0.000 0.000 0.500
0.500 0.500 0.500
0.000 0.000 0.000



Record 4
Nd8Ir3Cl4F PBE optimized geometry; volume = 438.6 Å³/cell; energy = -5.956 eV per atom; raw formation energy = -1.33 eV per atom
1.0
-7.007 -0.983 4.147
4.559 -3.099 6.969
2.056 7.406 -2.881
Nd Cl Ir F
8 4 3 1
Direct
0.759 0.293 0.034
0.241 0.707 0.966
0.734 0.703 0.468
0.275 0.293 0.034
0.725 0.707 0.966
0.758 0.292 0.517
0.266 0.297 0.532
0.242 0.708 0.483
0.000 0.000 0.500
0.500 0.000 0.500
0.500 0.000 0.000
0.000 0.000 0.000
0.000 0.500 0.500
0.500 0.500 0.000
0.500 0.500 0.500
0.000 0.500 0.000